Entry from Alexandria: a crystal of TcPt relaxed with PBEsol (meta-GGA SCAN).

Distance to the lowest polymorph of the same formula   2.79 kJ/mol of atoms
V   86.0 Å³ per cell
Total energy   -316.95 eV per cell
ΔE_f   -0.20 eV per atom

Structure (POSCAR):
```
TcPt
1.0
-0.4882 0.8986 2.5290
-3.5112 -3.7062 -0.8321
5.2382 -3.2357 2.1609
Pt Tc
3 3
Direct
0.3318 0.6635 0.6633
0.0059 0.0118 0.0050
0.3856 0.7712 0.2775
0.7175 0.4350 0.9386
0.6644 0.3288 0.3360
0.0615 0.1230 0.6129
```